[1]
First-principles (GGA-PBE) data for a geometry-optimized Rb3DyF6 structure, as listed in the Alexandria database.

Computed properties:
Volume = 246.4 Å³/f.u.
E_form (uncorrected) = -314 kJ per mole of atoms
E = -51.24 eV per cell

a = 6.9854 Å, b = 6.9854 Å, c = 6.9854 Å
α = 118.43°, β = 118.43°, γ = 92.74°
Closest atoms and distances in Å follow each position.
Element x y z (fractional)
Rb 0.0000 0.0000 0.0000  2 F 2.60
Rb 0.2500 0.7500 0.5000  4 F 2.79
Rb 0.7500 0.2500 0.5000  4 F 2.79
Dy 0.5000 0.5000 0.0000  6 F 2.17-2.22
F 0.1959 0.5000 0.6959  1 Dy 2.17
F 0.2701 0.2701 0.0000  1 Dy 2.22
F 0.5000 0.1959 0.6959  1 Dy 2.17
F 0.5000 0.8041 0.3041  1 Dy 2.17
F 0.7299 0.7299 0.0000  1 Dy 2.22
F 0.8041 0.5000 0.3041  1 Dy 2.17

---

[2]
First-principles (GGA-PBE) data for a geometry-optimized Ti2VAsH structure, as listed in the Alexandria database.

Computed properties:
Volume = 61.5 Å³/f.u.
E = -35.28 eV per cell

a = 4.0878 Å, b = 4.0878 Å, c = 3.6778 Å
α = 90.00°, β = 90.00°, γ = 90.00°
Closest atoms and distances in Å follow each position.
Element x y z (fractional)
Ti 0.0000 0.5000 0.0000  2 H 2.04
Ti 0.5000 0.0000 0.0000  2 H 2.04
V 0.0000 0.0000 0.5000  2 H 1.84
As 0.5000 0.5000 0.5000  8 Ti 2.75, 4 V 2.89
H 0.0000 0.0000 0.0000  2 V 1.84, 4 Ti 2.04